Entry from the Alexandria database: a geometry-optimized PmDy2Y3 structure (PBE).

Output
Energy of formation   0.0076 eV per atom
SG   C2/m, No. 12
Energy above the most stable polymorph in this dataset   0.00 eV/f.u.

Structure (POSCAR):
```
PmDy2Y3
1.0
11.047 -1.829 0.000
11.047 1.829 0.000
-5.813 0.000 9.738
Pm Dy Y
2 4 6
direct
0.111 0.111 0.487
0.889 0.889 0.513
0.222 0.222 0.849
0.444 0.444 0.317
0.556 0.556 0.683
0.778 0.778 0.151
0.112 0.112 0.986
0.222 0.222 0.346
0.445 0.445 0.821
0.555 0.555 0.179
0.778 0.778 0.654
0.888 0.888 0.014
```